A relaxed structure of ZrBr2. Source: the Alexandria database, functional PBE-GGA.

abc: 6.125 6.125 6.125
angles: 60.00 60.00 60.00
Fractional positions:
1 Zr 0.125 0.125 0.125
2 Zr 0.875 0.875 0.875
3 Br 0.000 0.500 0.500
4 Br 0.500 0.000 0.500
5 Br 0.500 0.500 0.000
6 Br 0.500 0.500 0.500

Calculated values
The value obtained for the uncorrected formation energy is 0.692 eV per atom. For the magnetization, the calculation gives 4.86 μB per cell. Its space group is No. 227.